DFT (PBE-GGA) results for an optimized crystal structure of Gd2PtAu.

- ΔE_f (eV/f.u.) = -4.255
- symmetry = No. 26
- total magnetic moment (μB per formula unit) = 0.0

Structure (CIF):
```
data_Gd2PtAu
_chemical_formula_sum 'Gd4 Pt2 Au2'
_symmetry_space_group_name_H-M 'P 1'
_symmetry_Int_Tables_number 1
_cell_length_a 4.610
_cell_length_b 5.656
_cell_length_c 7.164
_cell_angle_alpha 90.00
_cell_angle_beta 90.00
_cell_angle_gamma 90.00
loop_
_symmetry_equiv_pos_as_xyz
'x,y,z'
loop_
_atom_site_label
_atom_site_type_symbol
_atom_site_fract_x
_atom_site_fract_y
_atom_site_fract_z
Au1 Au 0.000 0.408 0.041
Au2 Au 0.000 0.592 0.541
Gd1 Gd 0.000 0.901 0.185
Gd2 Gd 0.500 0.385 0.317
Gd3 Gd 0.000 0.099 0.685
Gd4 Gd 0.500 0.615 0.817
Pt1 Pt 0.500 0.904 0.457
Pt2 Pt 0.500 0.096 0.957
```

DFT (PBE-GGA) results for an optimized crystal structure of Nb3Fe.

- ΔE_f (eV/f.u.) = 0.113
- symmetry = No. 225
- total magnetic moment (μB per formula unit) = 0.2

Structure (CIF):
```
data_Nb3Fe
_chemical_formula_sum 'Nb3 Fe1'
_symmetry_space_group_name_H-M 'P 1'
_symmetry_Int_Tables_number 1
_cell_length_a 4.497
_cell_length_b 4.497
_cell_length_c 4.497
_cell_angle_alpha 60.00
_cell_angle_beta 60.00
_cell_angle_gamma 60.00
loop_
_symmetry_equiv_pos_as_xyz
'x,y,z'
loop_
_atom_site_label
_atom_site_type_symbol
_atom_site_fract_x
_atom_site_fract_y
_atom_site_fract_z
Fe1 Fe 0.750 0.750 0.750
Nb1 Nb 0.000 0.000 0.000
Nb2 Nb 0.250 0.250 0.250
Nb3 Nb 0.500 0.500 0.500
```

DFT (PBE-GGA) results for an optimized crystal structure of TcO3.

- symmetry = No. 5
- total energy (Ha/atom) = -0.27152
- total magnetic moment (μB per formula unit) = 0.0

Structure (CIF):
```
data_TcO3
_chemical_formula_sum 'Tc4 O12'
_symmetry_space_group_name_H-M 'P 1'
_symmetry_Int_Tables_number 1
_cell_length_a 5.197
_cell_length_b 5.197
_cell_length_c 9.596
_cell_angle_alpha 100.63
_cell_angle_beta 100.63
_cell_angle_gamma 119.65
loop_
_symmetry_equiv_pos_as_xyz
'x,y,z'
loop_
_atom_site_label
_atom_site_type_symbol
_atom_site_fract_x
_atom_site_fract_y
_atom_site_fract_z
O1 O 0.521 0.855 0.116
O2 O 0.912 0.638 0.116
O3 O 0.307 0.247 0.119
O4 O 0.029 0.420 0.382
O5 O 0.814 0.814 0.383
O6 O 0.422 0.031 0.384
O7 O 0.969 0.578 0.616
O8 O 0.186 0.186 0.617
O9 O 0.580 0.971 0.618
O10 O 0.753 0.693 0.881
O11 O 0.362 0.088 0.884
O12 O 0.145 0.479 0.884
Tc1 Tc 0.500 0.500 0.000
Tc2 Tc 0.165 0.835 0.000
Tc3 Tc 0.834 0.166 0.500
Tc4 Tc 0.169 0.831 0.500
```

DFT (PBE-GGA) results for an optimized crystal structure of TbEr2Al3AgIr2.

- symmetry = No. 38
- total energy (Ha/atom) = -0.21255
- total magnetic moment (μB per formula unit) = 0.0

Structure (CIF):
```
data_TbEr2Al3AgIr2
_chemical_formula_sum 'Tb1 Er2 Al3 Ag1 Ir2'
_symmetry_space_group_name_H-M 'P 1'
_symmetry_Int_Tables_number 1
_cell_length_a 4.115
_cell_length_b 7.052
_cell_length_c 7.052
_cell_angle_alpha 120.42
_cell_angle_beta 90.00
_cell_angle_gamma 90.00
loop_
_symmetry_equiv_pos_as_xyz
'x,y,z'
loop_
_atom_site_label
_atom_site_type_symbol
_atom_site_fract_x
_atom_site_fract_y
_atom_site_fract_z
Ag1 Ag 0.000 0.996 0.996
Al1 Al 0.500 0.253 0.001
Al2 Al 0.500 0.001 0.253
Al3 Al 0.500 0.747 0.747
Er1 Er 0.000 0.579 0.000
Er2 Er 0.000 0.000 0.579
Ir1 Ir 0.500 0.670 0.332
Ir2 Ir 0.500 0.332 0.670
Tb1 Tb 0.000 0.421 0.421
```

DFT (PBE-GGA) results for an optimized crystal structure of ThZrB.

- symmetry = No. 216
- total energy (Ha/atom) = -0.27467
- total magnetic moment (μB per formula unit) = 0.0

Structure (CIF):
```
data_ThZrB
_chemical_formula_sum 'Th1 Zr1 B1'
_symmetry_space_group_name_H-M 'P 1'
_symmetry_Int_Tables_number 1
_cell_length_a 4.452
_cell_length_b 4.452
_cell_length_c 4.452
_cell_angle_alpha 60.00
_cell_angle_beta 60.00
_cell_angle_gamma 60.00
loop_
_symmetry_equiv_pos_as_xyz
'x,y,z'
loop_
_atom_site_label
_atom_site_type_symbol
_atom_site_fract_x
_atom_site_fract_y
_atom_site_fract_z
B1 B 0.000 0.000 0.000
Th1 Th 0.250 0.250 0.250
Zr1 Zr 0.750 0.750 0.750
```

DFT (PBE-GGA) results for an optimized crystal structure of ZrH2Se2O9.

- symmetry = No. 14
- total energy (Ha/atom) = -0.22051
- total magnetic moment (μB per formula unit) = 0.0

Structure (CIF):
```
data_ZrH2Se2O9
_chemical_formula_sum 'Zr4 H8 Se8 O36'
_symmetry_space_group_name_H-M 'P 1'
_symmetry_Int_Tables_number 1
_cell_length_a 5.292
_cell_length_b 7.819
_cell_length_c 16.898
_cell_angle_alpha 90.00
_cell_angle_beta 106.95
_cell_angle_gamma 90.00
loop_
_symmetry_equiv_pos_as_xyz
'x,y,z'
loop_
_atom_site_label
_atom_site_type_symbol
_atom_site_fract_x
_atom_site_fract_y
_atom_site_fract_z
H1 H 0.820 0.048 0.067
H2 H 0.676 0.029 0.136
H3 H 0.324 0.529 0.364
H4 H 0.180 0.548 0.433
H5 H 0.820 0.452 0.567
H6 H 0.676 0.471 0.636
H7 H 0.324 0.971 0.864
H8 H 0.180 0.952 0.933
O1 O 0.236 0.086 0.010
O2 O 0.895 0.337 0.025
O3 O 0.414 0.400 0.064
O4 O 0.876 0.640 0.099
O5 O 0.803 0.104 0.119
O6 O 0.461 0.861 0.135
O7 O 0.187 0.369 0.211
O8 O 0.683 0.561 0.220
O9 O 0.671 0.231 0.231
O10 O 0.329 0.731 0.269
O11 O 0.317 0.061 0.280
O12 O 0.813 0.869 0.289
O13 O 0.539 0.361 0.365
O14 O 0.197 0.604 0.381
O15 O 0.124 0.140 0.401
O16 O 0.586 0.900 0.436
O17 O 0.105 0.837 0.475
O18 O 0.764 0.586 0.490
O19 O 0.236 0.414 0.510
O20 O 0.895 0.163 0.525
O21 O 0.414 0.100 0.564
O22 O 0.876 0.860 0.599
O23 O 0.803 0.396 0.619
O24 O 0.461 0.639 0.635
O25 O 0.187 0.131 0.711
O26 O 0.683 0.939 0.720
O27 O 0.671 0.269 0.731
O28 O 0.329 0.769 0.769
O29 O 0.317 0.439 0.780
O30 O 0.813 0.631 0.789
O31 O 0.539 0.139 0.865
O32 O 0.197 0.896 0.881
O33 O 0.124 0.360 0.901
O34 O 0.586 0.600 0.936
O35 O 0.105 0.663 0.975
O36 O 0.764 0.914 0.990
Se1 Se 0.833 0.710 0.002
Se2 Se 0.564 0.759 0.222
Se3 Se 0.436 0.259 0.278
Se4 Se 0.167 0.210 0.498
Se5 Se 0.833 0.790 0.502
Se6 Se 0.564 0.741 0.722
Se7 Se 0.436 0.241 0.778
Se8 Se 0.167 0.290 0.998
Zr1 Zr 0.798 0.380 0.140
Zr2 Zr 0.202 0.880 0.360
Zr3 Zr 0.798 0.120 0.640
Zr4 Zr 0.202 0.620 0.860
```

DFT (PBE-GGA) results for an optimized crystal structure of RbTbAg3Te4.

- symmetry = No. 11
- total energy (Ha/atom) = -0.12951
- total magnetic moment (μB per formula unit) = 0.0

Structure (CIF):
```
data_RbTbAg3Te4
_chemical_formula_sum 'Rb2 Tb2 Ag6 Te8'
_symmetry_space_group_name_H-M 'P 1'
_symmetry_Int_Tables_number 1
_cell_length_a 6.691
_cell_length_b 8.071
_cell_length_c 11.229
_cell_angle_alpha 90.00
_cell_angle_beta 105.28
_cell_angle_gamma 90.00
loop_
_symmetry_equiv_pos_as_xyz
'x,y,z'
loop_
_atom_site_label
_atom_site_type_symbol
_atom_site_fract_x
_atom_site_fract_y
_atom_site_fract_z
Ag1 Ag 0.800 0.556 0.023
Ag2 Ag 0.800 0.944 0.023
Ag3 Ag 0.916 0.750 0.260
Ag4 Ag 0.084 0.250 0.740
Ag5 Ag 0.200 0.056 0.977
Ag6 Ag 0.200 0.444 0.977
Rb1 Rb 0.732 0.250 0.412
Rb2 Rb 0.268 0.750 0.588
Tb1 Tb 0.392 0.750 0.194
Tb2 Tb 0.608 0.250 0.806
Te1 Te 0.561 0.250 0.065
Te2 Te 0.130 0.033 0.227
Te3 Te 0.130 0.467 0.227
Te4 Te 0.702 0.750 0.434
Te5 Te 0.298 0.250 0.566
Te6 Te 0.870 0.533 0.773
Te7 Te 0.870 0.967 0.773
Te8 Te 0.439 0.750 0.935
```

DFT (PBE-GGA) results for an optimized crystal structure of YLuSe3.

- symmetry = No. 5
- total energy (Ha/atom) = -0.22665
- total magnetic moment (μB per formula unit) = 0.0

Structure (CIF):
```
data_YLuSe3
_chemical_formula_sum 'Y2 Lu2 Se6'
_symmetry_space_group_name_H-M 'P 1'
_symmetry_Int_Tables_number 1
_cell_length_a 7.004
_cell_length_b 7.004
_cell_length_c 7.036
_cell_angle_alpha 99.44
_cell_angle_beta 99.44
_cell_angle_gamma 120.19
loop_
_symmetry_equiv_pos_as_xyz
'x,y,z'
loop_
_atom_site_label
_atom_site_type_symbol
_atom_site_fract_x
_atom_site_fract_y
_atom_site_fract_z
Lu1 Lu 0.413 0.587 0.000
Lu2 Lu 0.080 0.920 0.000
Se1 Se 0.169 0.333 0.240
Se2 Se 0.486 0.000 0.241
Se3 Se 0.820 0.667 0.244
Se4 Se 0.333 0.180 0.756
Se5 Se 0.000 0.514 0.759
Se6 Se 0.667 0.831 0.760
Y1 Y 0.747 0.253 0.000
Y2 Y 0.581 0.419 0.500
```